[1]
Crystalline BaAgSe at its relaxed geometry. Source: Alexandria via LeMat-Bulk, functional PBE.

abc: 5.290 5.290 5.290
angles: 60.00 60.00 60.00
Atoms (fractional coordinates):
Ba (0.500, 0.500, 0.500)
Se (0.250, 0.250, 0.250)
Ag (0.000, 0.000, 0.000)

Summary:
The uncorrected formation energy is -0.74 eV/atom. The energy above the most stable polymorph in this dataset is 1.01 eV per formula unit.

[2]
Crystalline MnNi2Se2 at its relaxed geometry. Source: Alexandria via LeMat-Bulk, functional PBE.

abc: 4.658 4.658 5.045
angles: 62.51 62.51 90.00
Atoms (fractional coordinates):
Se (0.250, 0.750, 0.500)
Se (0.750, 0.250, 0.500)
Mn (0.000, 0.000, 0.000)
Ni (0.336, 0.336, 0.329)
Ni (0.664, 0.664, 0.671)

Summary:
The uncorrected formation energy is 0.09 eV/atom. The energy above the most stable polymorph in this dataset is 0.25 eV per formula unit.

[3]
Crystalline CePbS4 at its relaxed geometry. Source: Alexandria via LeMat-Bulk, functional PBE.

abc: 5.665 5.665 11.230
angles: 90.00 90.00 92.92
Atoms (fractional coordinates):
S (0.263, 0.805, 0.750)
S (0.370, 0.370, 0.990)
S (0.737, 0.195, 0.250)
S (0.195, 0.737, 0.250)
S (0.630, 0.630, 0.010)
S (0.805, 0.263, 0.750)
S (0.370, 0.370, 0.510)
S (0.630, 0.630, 0.490)
Pb (0.227, 0.227, 0.250)
Pb (0.773, 0.773, 0.750)
Ce (0.292, 0.292, 0.750)
Ce (0.708, 0.708, 0.250)

Summary:
The uncorrected formation energy is -0.84 eV/atom.

[4]
Crystalline Ca3AlBi3 at its relaxed geometry. Source: Alexandria via LeMat-Bulk, functional PBE.

abc: 6.822 10.707 13.326
angles: 90.00 90.00 108.58
Atoms (fractional coordinates):
Ca (0.697, 0.000, 0.860)
Ca (0.197, 0.000, 0.640)
Ca (0.974, 0.355, 0.625)
Ca (0.619, 0.645, 0.625)
Ca (0.303, 0.000, 0.140)
Ca (0.119, 0.645, 0.875)
Ca (0.881, 0.355, 0.125)
Ca (0.026, 0.645, 0.375)
Ca (0.474, 0.355, 0.875)
Ca (0.526, 0.645, 0.125)
Ca (0.803, 0.000, 0.360)
Ca (0.381, 0.355, 0.375)
Al (0.087, 0.175, 0.000)
Al (0.587, 0.175, 0.500)
Al (0.413, 0.825, 0.500)
Al (0.913, 0.825, 0.000)
Bi (0.777, 0.000, 0.118)
Bi (0.277, 0.000, 0.382)
Bi (0.936, 0.325, 0.871)
Bi (0.223, 0.000, 0.882)
Bi (0.723, 0.000, 0.618)
Bi (0.388, 0.325, 0.129)
Bi (0.064, 0.675, 0.129)
Bi (0.888, 0.325, 0.371)
Bi (0.612, 0.675, 0.871)
Bi (0.112, 0.675, 0.629)
Bi (0.564, 0.675, 0.371)
Bi (0.436, 0.325, 0.629)

Summary:
For the formation energy, the calculation gives -638 meV/atom.

| no. | density of states at the Fermi level (states/eV/f.u.) | magnetic moment (μB/cell) |
| --- | --- | --- |
| 1 | 3.02 | 0.000 |
| 2 | 3.46 | 4.591 |
| 3 | 2.78 | 0.246 |
| 4 | 0.12 | 0.000 |